No. 1
Tb8Pm3Er4 | PBE | relaxed

Computed properties:
SG   C2/m, No. 12
E   -63.7 eV/cell
D(E_F)   1.828 states/eV per atom
DFT formation energy   5.90 eV per formula unit

Unit cell a=6.735 b=9.259 c=9.259 alpha=86.76 beta=111.35 gamma=111.35
Fractional coordinates of all 15 atoms:
Tb (0.568, 0.273, 0.273)
Tb (0.000, 0.644, 0.356)
Tb (0.026, 0.253, 0.253)
Tb (0.500, 0.749, 0.251)
Tb (0.500, 0.251, 0.749)
Tb (0.974, 0.747, 0.747)
Tb (0.000, 0.356, 0.644)
Tb (0.432, 0.727, 0.727)
Pm (0.500, 0.500, 0.000)
Pm (0.500, 0.000, 0.500)
Pm (0.500, 0.500, 0.500)
Er (0.500, 0.000, 0.000)
Er (0.000, 0.500, 0.000)
Er (0.000, 0.000, 0.000)
Er (0.000, 0.000, 0.500)

No. 2
PmZn10Co2 | PBE | relaxed

Computed properties:
SG   Fmmm, No. 69
E   -33.9 eV/cell
D(E_F)   0.378 states/eV per atom
DFT formation energy   -2.17 eV per formula unit

Unit cell a=4.957 b=6.788 c=6.821 alpha=82.38 beta=68.69 gamma=68.59
Site moments in Bohr magnetons follow the coordinates.
Fractional coordinates of all 13 atoms:
Pm (0.000, 0.000, 0.000)  0.02
Zn (0.349, 0.636, 0.665)  -0.01
Zn (0.651, 0.364, 0.335)  -0.01
Zn (0.986, 0.364, 0.665)  -0.01
Zn (0.014, 0.636, 0.335)  -0.01
Zn (0.000, 0.000, 0.500)  0.00
Zn (0.500, 0.000, 0.500)  0.00
Zn (0.278, 0.229, 0.214)  -0.01
Zn (0.722, 0.771, 0.786)  -0.01
Zn (0.507, 0.771, 0.214)  -0.01
Zn (0.493, 0.229, 0.786)  -0.01
Co (0.000, 0.500, 0.000)  1.24
Co (0.500, 0.500, 0.000)  1.24

No. 3
MnCoSb2 | PBE | relaxed

Computed properties:
SG   Fm-3m, No. 225
Distance to the lowest polymorph of the same formula   257 meV per atom
Formation energy from raw total energies   0.313 eV per atom
E   -23.3 eV/cell
D(E_F)   1.462 states/eV per atom

Unit cell a=4.630 b=4.630 c=4.630 alpha=60.00 beta=60.00 gamma=60.00
Site moments in Bohr magnetons follow the coordinates.
Fractional coordinates of all 4 atoms:
Sb (0.250, 0.250, 0.250)  -0.06
Sb (0.750, 0.750, 0.750)  -0.06
Mn (0.000, 0.000, 0.000)  2.89
Co (0.500, 0.500, 0.500)  0.75

No. 4
HfTl2Te3 | PBE | relaxed

Computed properties:
SG   C2/m, No. 12
Distance to the lowest polymorph of the same formula   0 meV per atom
Formation energy from raw total energies   -0.569 eV per atom
E   -55.0 eV/cell

Unit cell a=7.650 b=7.650 c=8.384 alpha=98.65 beta=98.65 gamma=119.46
Fractional coordinates of all 12 atoms:
Hf (0.003, 0.997, 0.000)
Hf (0.664, 0.336, 0.000)
Tl (0.833, 0.167, 0.500)
Tl (0.333, 0.667, 0.000)
Tl (0.185, 0.815, 0.500)
Tl (0.482, 0.518, 0.500)
Te (0.642, 0.975, 0.803)
Te (0.025, 0.358, 0.197)
Te (0.884, 0.594, 0.787)
Te (0.261, 0.218, 0.787)
Te (0.406, 0.116, 0.213)
Te (0.782, 0.739, 0.213)

No. 5
LiEuAu2 | PBE | relaxed

Computed properties:
SG   P4/mmm, No. 123
E   -21.1 eV/cell
D(E_F)   2.434 states/eV per atom
DFT formation energy   -2.33 eV per formula unit

Unit cell a=3.704 b=4.924 c=4.924 alpha=90.00 beta=90.00 gamma=90.00
Site moments in Bohr magnetons follow the coordinates.
Fractional coordinates of all 4 atoms:
Eu (0.500, 0.500, 0.500)  6.82
Au (0.000, 0.000, 0.500)  0.01
Au (0.000, 0.500, 0.000)  0.01
Li (0.500, 0.000, 0.000)  0.01

Look up the E of the fifth one.
-21.1 eV/cell

The lowest E belongs to which entry?
Tb8Pm3Er4